Record 1
Material: Ba2AlSi
Method: DFT, PBEsol
State: optimized geometry

Results
ΔE_f (raw): -38 meV per atom
crystal system: tetragonal

Geometry as POSCAR:
```
Ba2AlSi
1.0
5.5065 0.0000 0.0000
0.0000 5.5065 0.0000
0.0000 0.0000 4.2172
Ba Al Si
2 1 1
Direct
0.0000 0.5000 0.0000 Ba
0.5000 0.0000 0.0000 Ba
0.0000 0.0000 0.5000 Al
0.5000 0.5000 0.5000 Si
```

Record 2
Material: BaAlSi
Method: DFT, PBEsol
State: optimized geometry

Results
ΔE_f (raw): -398 meV per atom
crystal system: hexagonal

Geometry as POSCAR:
```
BaAlSi
1.0
4.2916 0.0000 0.0000
-2.1458 3.7166 0.0000
0.0000 0.0000 5.0831
Ba Al Si
1 1 1
Direct
0.0000 0.0000 0.0000 Ba
0.3333 0.6667 0.5000 Al
0.6667 0.3333 0.5000 Si
```

Record 3
Material: BaAl2Sn
Method: DFT, PBEsol
State: optimized geometry

Results
crystal system: tetragonal
energy of formation: -0.331 eV/f.u.

Geometry as POSCAR:
```
BaAl2Sn
1.0
5.1412 0.0000 0.0000
0.0000 5.1412 0.0000
0.0000 0.0000 19.4038
Ba Al Sn
4 8 4
Direct
0.0000 0.2500 0.3750 Ba
0.0000 0.7500 0.6250 Ba
0.5000 0.2500 0.1250 Ba
0.5000 0.7500 0.8750 Ba
0.0000 0.0000 0.0000 Al
0.0000 0.5000 0.0000 Al
0.2500 0.2500 0.7500 Al
0.2500 0.7500 0.2500 Al
0.5000 0.0000 0.5000 Al
0.5000 0.5000 0.5000 Al
0.7500 0.2500 0.7500 Al
0.7500 0.7500 0.2500 Al
0.0000 0.2500 0.8750 Sn
0.0000 0.7500 0.1250 Sn
0.5000 0.2500 0.6250 Sn
0.5000 0.7500 0.3750 Sn
```

Record 4
Material: Ba5Al5Sn
Method: DFT, PBEsol
State: optimized geometry

Results
crystal system: hexagonal
energy of formation: -3.940 eV/f.u.

Geometry as POSCAR:
```
Ba5Al5Sn
1.0
6.0154 0.0000 0.0000
-3.0077 5.2095 0.0000
0.0000 0.0000 11.0003
Ba Al Sn
5 5 1
Direct
0.0000 0.0000 0.0000 Ba
0.3333 0.6667 0.3274 Ba
0.3333 0.6667 0.6726 Ba
0.6667 0.3333 0.2003 Ba
0.6667 0.3333 0.7997 Ba
0.0000 0.0000 0.3213 Al
0.0000 0.0000 0.6787 Al
0.3573 0.1787 0.5000 Al
0.8213 0.1787 0.5000 Al
0.8213 0.6427 0.5000 Al
0.3333 0.6667 0.0000 Sn
```

Record 5
Material: BaSrAl4
Method: DFT, PBEsol
State: optimized geometry

Results
crystal system: cubic
energy of formation: -1.420 eV/f.u.

Geometry as POSCAR:
```
BaSrAl4
1.0
0.0000 4.1559 4.1559
4.1559 0.0000 4.1559
4.1559 4.1559 0.0000
Ba Sr Al
1 1 4
Direct
0.0000 0.0000 0.0000 Ba
0.2500 0.2500 0.2500 Sr
0.1252 0.6249 0.6249 Al
0.6249 0.1252 0.6249 Al
0.6249 0.6249 0.1252 Al
0.6249 0.6249 0.6249 Al
```

Record 6
Material: BaSr2Al2
Method: DFT, PBEsol
State: optimized geometry

Results
offset from the most stable computed form: 32 meV/atom
crystal system: tetragonal
energy of formation: -0.152 eV/f.u.

Geometry as POSCAR:
```
BaSr2Al2
1.0
9.4732 0.0000 0.0000
0.0000 9.4732 0.0000
0.0000 0.0000 3.7205
Ba Sr Al
2 4 4
Direct
0.0000 0.0000 0.0000 Ba
0.5000 0.5000 0.0000 Ba
0.1311 0.3689 0.0000 Sr
0.3689 0.8689 0.0000 Sr
0.6311 0.1311 0.0000 Sr
0.8689 0.6311 0.0000 Sr
0.1659 0.6659 0.5000 Al
0.3341 0.1659 0.5000 Al
0.6659 0.8341 0.5000 Al
0.8341 0.3341 0.5000 Al
```

Record 7
Material: BaSr2Al
Method: DFT, PBEsol
State: optimized geometry

Results
crystal system: tetragonal
energy of formation: -0.113 eV/f.u.

Geometry as POSCAR:
```
BaSr2Al
1.0
3.9746 0.0000 0.0000
0.0000 3.9746 0.0000
0.0000 0.0000 10.5741
Ba Sr Al
1 2 1
Direct
0.0000 0.0000 0.0000 Ba
0.5000 0.5000 0.3215 Sr
0.5000 0.5000 0.6785 Sr
0.0000 0.0000 0.5000 Al
```

Record 8
Material: BaSrAl
Method: DFT, PBEsol
State: optimized geometry

Results
crystal system: tetragonal
energy of formation: -0.220 eV/f.u.

Geometry as POSCAR:
```
BaSrAl
1.0
4.0511 0.0000 0.0000
0.0000 4.0511 0.0000
0.0000 0.0000 14.2886
Ba Sr Al
2 2 2
Direct
0.0000 0.0000 0.0000 Ba
0.5000 0.5000 0.5000 Ba
0.0000 0.0000 0.7380 Sr
0.5000 0.5000 0.2380 Sr
0.0000 0.0000 0.3597 Al
0.5000 0.5000 0.8597 Al
```